First-principles (PBE) data for a geometry-optimized LiZnAs2 structure, as listed in OQMD via LeMat-Bulk.

## Properties
Its space group is F-43m, No. 216. The raw total energy comes out at -12.3 eV per cell.

Cell lengths 4.6431, 4.6431, 4.6431 Å; angles 60.00, 60.00, 60.00 degrees
Fractional coordinates of all 4 atoms:
As1 0.0000 0.0000 0.0000
As2 0.7500 0.7500 0.7500
Li1 0.5000 0.5000 0.5000
Zn1 0.2500 0.2500 0.2500